DyTh2Nb (GGA-PBE, optimized geometry); crystal system = tetragonal; energy of formation = 0.166 eV/atom; total energy = -7.212 eV per atom; total moment = 0.0 μB/cell; E above lowest polymorph = 0 meV/atom
1.0
3.663 0.000 0.000
0.000 3.663 0.000
0.000 0.000 8.434
Dy Th Nb
1 2 1
Direct
0.000 0.000 0.000
0.500 0.500 0.283
0.500 0.500 0.717
0.000 0.000 0.500